Computed, not measured: a geometry-optimized Cs3Tl4Bi4 structure at the PBE level of DFT.

```
11
Lattice="5.3806 0.0000 0.0000 0.0154 5.8440 0.0000 2.6090 2.5171 15.3585" Properties=species:S:1:pos:R:3 pbc="T T T"
Cs 0.0000 0.0000 0.0000
Cs 2.6747 5.9089 4.6256
Cs 5.3304 2.4522 10.7329
Tl 2.6273 4.7465 12.4445
Tl 2.6519 2.7243 7.7795
Tl 5.3532 5.6368 7.5790
Tl 5.3778 3.6146 2.9140
Bi 2.6612 5.5966 9.3627
Bi 2.6911 2.5709 1.4577
Bi 5.3140 5.7902 13.9008
Bi 5.3438 2.7644 5.9958
```

Properties
Size of the total moment (μB per formula unit): 0.00
Crystal system: triclinic
Formation energy (eV/atom): -0.2055
Symmetry: No. 2
Energy above the lowest structure with this stoichiometry (eV/atom): 0.000

=====

Computed, not measured: a geometry-optimized Cs2Tl2Bi3 structure at the PBE level of DFT.

```
7
Lattice="6.9466 -2.7509 0.0000 6.9466 2.7509 0.0000 -3.7682 0.0000 7.6398" Properties=species:S:1:pos:R:3 pbc="T T T"
Cs 1.0597 0.0000 2.2721
Cs 9.0653 0.0000 5.3676
Tl -0.8626 0.0000 5.9005
Tl 10.9876 0.0000 1.7392
Bi 5.5136 0.0000 0.5632
Bi 5.0625 0.0000 3.8199
Bi 4.6115 0.0000 7.0765
```

Properties
Size of the total moment (μB per formula unit): 0.00
Crystal system: monoclinic
Formation energy (eV/atom): -0.2339
Symmetry: No. 12

=====

Computed, not measured: a geometry-optimized Cs2Tl12Bi7 structure at the PBE level of DFT.

```
21
Lattice="13.3846 0.0000 0.0000 -6.6923 11.5914 0.0000 0.0000 0.0000 5.0580" Properties=species:S:1:pos:R:3 pbc="T T T"
Cs 0.0000 7.7276 1.2549
Cs 6.6923 3.8638 3.8031
Tl -3.3592 7.1953 3.8017
Tl -4.2109 9.9934 1.2720
Tl 0.1432 2.9479 1.2720
Tl 2.6245 1.3500 3.7860
Tl 2.1406 5.0846 3.8017
Tl 5.4737 0.6885 1.2564
Tl 1.2186 10.9029 3.8017
Tl 4.5517 6.5068 1.2564
Tl 4.0677 10.2414 1.2720
Tl 6.5491 8.6435 3.7860
Tl 10.9032 1.5979 3.7860
Tl 10.0515 4.3961 1.2564
Bi 0.0000 0.0000 0.0000
Bi -1.1822 4.6421 3.7557
Bi -2.0810 10.2942 3.7557
Bi 3.4291 3.3449 1.3023
Bi 3.2632 8.2465 3.7557
Bi 8.7732 1.2972 1.3023
Bi 7.8745 6.9492 1.3023
```

Properties
Size of the total moment (μB per formula unit): 0.00
Crystal system: trigonal
Formation energy (eV/atom): -0.0902
Symmetry: No. 147

=====

Computed, not measured: a geometry-optimized CsTl2Bi structure at the PBE level of DFT.

```
4
Lattice="2.7670 1.5976 6.8840 -2.7670 1.5976 6.8840 0.0000 -3.1951 6.8840" Properties=species:S:1:pos:R:3 pbc="T T T"
Cs 0.0000 0.0000 0.0000
Tl 0.0000 0.0000 4.3344
Tl 0.0000 0.0000 9.4437
Bi 0.0000 0.0000 16.5884
```

Properties
Size of the total moment (μB per formula unit): 0.00
Crystal system: trigonal
Formation energy (eV/atom): -0.1747
Symmetry: No. 160

=====

Computed, not measured: a geometry-optimized Cs3Tl4Bi2 structure at the PBE level of DFT.

```
18
Lattice="8.6194 -6.3031 0.0000 8.6194 6.3031 0.0000 -0.5704 0.0000 7.9586" Properties=species:S:1:pos:R:3 pbc="T T T"
Cs 8.1917 5.5009 5.9690
Cs 6.1462 1.2317 2.2096
Cs 5.8610 -1.2317 6.1889
Cs 10.8075 1.2317 1.7698
Cs 10.5223 -1.2317 5.7491
Cs 8.4768 -5.5009 1.9897
Tl 2.7234 1.7239 7.6026
Tl 5.6258 2.6439 5.7742
Tl 3.0086 -1.7239 3.6233
Tl 10.7575 2.6439 6.1637
Tl 5.9110 -2.6439 1.7949
Tl 13.6599 1.7239 4.3354
Tl 11.0427 -2.6439 2.1844
Tl 13.9451 -1.7239 0.3561
Bi 2.8810 1.3477 4.4830
Bi 3.1662 -1.3477 0.5036
Bi 13.5023 1.3477 7.4550
Bi 13.7875 -1.3477 3.4757
```

Properties
Size of the total moment (μB per formula unit): 0.00
Crystal system: monoclinic
Formation energy (eV/atom): -0.1865
Symmetry: No. 15
Energy above the lowest structure with this stoichiometry (eV/atom): 0.026

=====

Computed, not measured: a geometry-optimized CsTl8Bi2 structure at the PBE level of DFT.

```
11
Lattice="6.8048 0.0000 0.0000 0.0000 6.8048 0.0000 0.0000 0.0000 11.0331" Properties=species:S:1:pos:R:3 pbc="T T T"
Cs 0.0000 0.0000 0.0000
Tl 1.7140 1.7140 3.2743
Tl 1.7140 1.7140 7.7588
Tl 1.7140 5.0908 3.2743
Tl 1.7140 5.0908 7.7588
Tl 5.0908 1.7140 3.2743
Tl 5.0908 1.7140 7.7588
Tl 5.0908 5.0908 3.2743
Tl 5.0908 5.0908 7.7588
Bi 0.0000 3.4024 5.5166
Bi 3.4024 0.0000 5.5166
```

Properties
Size of the total moment (μB per formula unit): 0.00
Crystal system: tetragonal
Formation energy (eV/atom): 0.0235
Symmetry: No. 123

=====

Computed, not measured: a geometry-optimized Cs2Tl2Bi structure at the PBE level of DFT.

```
10
Lattice="8.4815 0.0000 0.0000 0.0000 8.4815 0.0000 0.0000 0.0000 6.3282" Properties=species:S:1:pos:R:3 pbc="T T T"
Cs 1.5966 2.6442 0.0000
Cs 2.6442 6.8849 0.0000
Cs 5.8373 1.5966 0.0000
Cs 6.8849 5.8373 0.0000
Tl 1.0980 5.3388 3.1641
Tl 3.1427 1.0980 3.1641
Tl 5.3388 7.3835 3.1641
Tl 7.3835 3.1427 3.1641
Bi 0.0000 0.0000 3.1641
Bi 4.2408 4.2408 3.1641
```

Properties
Size of the total moment (μB per formula unit): 0.00
Crystal system: tetragonal
Formation energy (eV/atom): -0.1449
Symmetry: No. 127
Energy above the lowest structure with this stoichiometry (eV/atom): 0.075

=====

Computed, not measured: a geometry-optimized Cs4Tl4Bi structure at the PBE level of DFT.

```
9
Lattice="-3.8430 3.8430 8.4739 3.8430 -3.8430 8.4739 3.8430 3.8430 -8.4739" Properties=species:S:1:pos:R:3 pbc="T T T"
Cs 2.3884 2.3884 -1.9497
Cs 1.4546 -1.4546 10.4236
Cs 1.4546 1.4546 6.5242
Cs -1.4546 1.4546 10.4236
Tl 2.6597 2.6597 -5.7384
Tl 1.1833 1.1833 2.7355
Tl 1.1833 -1.1833 14.2123
Tl -1.1833 1.1833 14.2123
Bi 0.0000 0.0000 0.0000
```

Properties
Size of the total moment (μB per formula unit): 0.00
Crystal system: tetragonal
Formation energy (eV/atom): -0.0197
Symmetry: No. 121

=====

Computed, not measured: a geometry-optimized CsTlBi4 structure at the PBE level of DFT.

```
6
Lattice="0.0000 4.8273 4.8273 4.8273 0.0000 4.8273 4.8273 4.8273 0.0000" Properties=species:S:1:pos:R:3 pbc="T T T"
Cs 0.0000 0.0000 0.0000
Tl 7.2410 7.2410 7.2410
Bi 3.6392 3.6392 3.6392
Bi 6.0154 6.0154 3.6392
Bi 6.0154 3.6392 6.0154
Bi 3.6392 6.0154 6.0154
```

Properties
Size of the total moment (μB per formula unit): 0.00
Crystal system: cubic
Formation energy (eV/atom): -0.0906
Symmetry: No. 216

=====

Computed, not measured: a geometry-optimized CsTl2Bi2 structure at the PBE level of DFT.

```
5
Lattice="-2.7621 2.7621 6.6584 2.7621 -2.7621 6.6584 2.7621 2.7621 -6.6584" Properties=species:S:1:pos:R:3 pbc="T T T"
Cs 0.0000 0.0000 0.0000
Tl 2.7621 0.0000 3.3292
Tl 0.0000 2.7621 3.3292
Bi 0.0000 0.0000 5.0622
Bi 0.0000 0.0000 8.2545
```

Properties
Size of the total moment (μB per formula unit): 0.00
Crystal system: tetragonal
Formation energy (eV/atom): -0.2054
Symmetry: No. 139
Energy above the lowest structure with this stoichiometry (eV/atom): 0.000

=====

Computed, not measured: a geometry-optimized CsTlBi2 structure at the PBE level of DFT.

```
4
Lattice="0.0000 4.2350 4.2350 4.2350 0.0000 4.2350 4.2350 4.2350 0.0000" Properties=species:S:1:pos:R:3 pbc="T T T"
Cs 0.0000 0.0000 0.0000
Tl 4.2350 4.2350 4.2350
Bi 2.1175 2.1175 2.1175
Bi 6.3525 6.3525 6.3525
```

Properties
Size of the total moment (μB per formula unit): 0.00
Crystal system: cubic
Formation energy (eV/atom): 0.1680
Symmetry: No. 225
Energy above the lowest structure with this stoichiometry (eV/atom): 0.358

=====

Computed, not measured: a geometry-optimized CsTlBi structure at the PBE level of DFT.

```
3
Lattice="6.0353 0.0000 0.0000 -3.0176 5.2267 0.0000 0.0000 0.0000 3.7923" Properties=species:S:1:pos:R:3 pbc="T T T"
Cs 0.0000 0.0000 0.0000
Tl 0.0000 3.4845 1.3903
Bi 3.0177 1.7422 2.1018
```

Properties
Size of the total moment (μB per formula unit): 0.00
Crystal system: trigonal
Formation energy (eV/atom): -0.1344
Symmetry: No. 156

=====

Computed, not measured: a geometry-optimized CsTl6Bi structure at the PBE level of DFT.

```
8
Lattice="5.7160 0.0000 0.0000 0.0000 5.7160 0.0000 0.0000 0.0000 9.2631" Properties=species:S:1:pos:R:3 pbc="T T T"
Cs 0.0000 0.0000 0.0000
Tl 0.0000 2.8580 2.9439
Tl 0.0000 2.8580 6.3193
Tl 2.8580 0.0000 2.9439
Tl 2.8580 0.0000 6.3193
Tl 2.8580 2.8580 1.5206
Tl 2.8580 2.8580 7.7426
Bi 0.0000 0.0000 4.6316
```

Properties
Size of the total moment (μB per formula unit): 0.00
Crystal system: tetragonal
Formation energy (eV/atom): -0.0272
Symmetry: No. 123
Energy above the lowest structure with this stoichiometry (eV/atom): 0.005

=====

Computed, not measured: a geometry-optimized CsTlBi2 structure at the PBE level of DFT.

```
8
Lattice="2.8819 -6.8753 0.0000 2.8819 6.8753 0.0000 0.0000 0.0000 8.3974" Properties=species:S:1:pos:R:3 pbc="T T T"
Cs 2.8819 5.6192 6.2980
Cs 2.8819 -5.6192 2.0993
Tl 2.8819 4.1207 2.0993
Tl 2.8819 -4.1207 6.2980
Bi 2.8819 1.4566 4.7521
Bi 2.8819 1.4566 7.8439
Bi 2.8819 -1.4566 0.5534
Bi 2.8819 -1.4566 3.6453
```

Properties
Size of the total moment (μB per formula unit): 0.00
Crystal system: orthorhombic
Formation energy (eV/atom): -0.1905
Symmetry: No. 63
Energy above the lowest structure with this stoichiometry (eV/atom): 0.000

=====

Computed, not measured: a geometry-optimized CsTl3Bi structure at the PBE level of DFT.

```
5
Lattice="6.2977 0.0000 0.0000 0.0000 6.2977 0.0000 0.0000 0.0000 6.2977" Properties=species:S:1:pos:R:3 pbc="T T T"
Cs 0.0000 0.0000 0.0000
Tl 0.0000 3.1489 3.1489
Tl 3.1489 0.0000 3.1489
Tl 3.1489 3.1489 0.0000
Bi 3.1489 3.1489 3.1489
```

Properties
Size of the total moment (μB per formula unit): 0.00
Crystal system: cubic
Formation energy (eV/atom): 0.1243
Symmetry: No. 221
Energy above the lowest structure with this stoichiometry (eV/atom): 0.263

=====

Computed, not measured: a geometry-optimized CsTl2Bi structure at the PBE level of DFT.

```
4
Lattice="5.4041 0.0000 0.0000 0.0000 5.4041 0.0000 0.0000 0.0000 5.2400" Properties=species:S:1:pos:R:3 pbc="T T T"
Cs 0.0000 0.0000 0.0000
Tl 0.0000 2.7020 2.6200
Tl 2.7020 0.0000 2.6200
Bi 2.7020 2.7020 0.0000
```

Properties
Size of the total moment (μB per formula unit): 0.00
Crystal system: tetragonal
Formation energy (eV/atom): 0.0150
Symmetry: No. 123

=====

Computed, not measured: a geometry-optimized CsTl2Bi2 structure at the PBE level of DFT.

```
10
Lattice="10.0064 0.0000 0.0000 0.0000 10.0064 0.0000 0.0000 0.0000 3.6502" Properties=species:S:1:pos:R:3 pbc="T T T"
Cs 0.0000 0.0000 0.0000
Cs 5.0032 5.0032 0.0000
Tl 1.2924 3.7107 0.0000
Tl 3.7107 8.7139 0.0000
Tl 6.2956 1.2924 0.0000
Tl 8.7139 6.2956 0.0000
Bi 1.6313 6.6345 1.8251
Bi 3.3719 1.6313 1.8251
Bi 6.6345 8.3751 1.8251
Bi 8.3751 3.3719 1.8251
```

Properties
Size of the total moment (μB per formula unit): 0.00
Crystal system: tetragonal
Formation energy (eV/atom): -0.1318
Symmetry: No. 127
Energy above the lowest structure with this stoichiometry (eV/atom): 0.074

=====

Computed, not measured: a geometry-optimized Cs2Tl5Bi structure at the PBE level of DFT.

```
8
Lattice="-2.9220 2.9220 8.9487 2.9220 -2.9220 8.9487 2.9220 2.9220 -8.9487" Properties=species:S:1:pos:R:3 pbc="T T T"
Cs 0.0000 0.0000 4.3403
Cs 0.0000 0.0000 13.5571
Tl 2.9220 0.0000 1.7343
Tl 2.9220 0.0000 7.2144
Tl 0.0000 0.0000 8.9487
Tl 0.0000 2.9220 1.7343
Tl 0.0000 2.9220 7.2144
Bi 0.0000 0.0000 0.0000
```

Properties
Size of the total moment (μB per formula unit): 0.00
Crystal system: tetragonal
Formation energy (eV/atom): -0.1049
Symmetry: No. 139

=====

Computed, not measured: a geometry-optimized CsTlBi2 structure at the PBE level of DFT.

```
4
Lattice="1.8512 1.0688 12.4848 -1.8512 1.0688 12.4848 0.0000 -2.1376 12.4848" Properties=species:S:1:pos:R:3 pbc="T T T"
Cs 0.0000 0.0000 0.0000
Tl 0.0000 0.0000 18.7271
Bi 0.0000 0.0000 9.1509
Bi 0.0000 0.0000 28.3034
```

Properties
Size of the total moment (μB per formula unit): 0.00
Crystal system: trigonal
Formation energy (eV/atom): 0.0412
Symmetry: No. 166
Energy above the lowest structure with this stoichiometry (eV/atom): 0.232

=====

Computed, not measured: a geometry-optimized Cs2Tl2Bi structure at the PBE level of DFT.

```
5
Lattice="-2.6172 2.6172 8.1270 2.6172 -2.6172 8.1270 2.6172 2.6172 -8.1270" Properties=species:S:1:pos:R:3 pbc="T T T"
Cs 2.6172 0.0000 4.0635
Cs 0.0000 2.6172 4.0635
Tl 0.0000 0.0000 1.4259
Tl 0.0000 0.0000 14.8280
Bi 0.0000 0.0000 8.1270
```

Properties
Size of the total moment (μB per formula unit): 0.00
Crystal system: tetragonal
Formation energy (eV/atom): 0.1629
Symmetry: No. 139
Energy above the lowest structure with this stoichiometry (eV/atom): 0.383